# HfSF2

A relaxed structure of HfSF2 (PBE-GGA, Alexandria via LeMat-Bulk).

Summary:
Polymorph energy (0 for the lowest one) in meV/atom: 0.0
VASP energy in eV for the cell shown: -53.435
Formation energy from raw total energies in eV per atom: -2.22
Calculated volume in Å³ per atom: 14.681

Unit cell a=7.779 b=7.779 c=7.779 alpha=149.99 beta=149.99 gamma=42.96
Positions (direct):
Hf: 0.000 0.000 0.000
Hf: 0.750 0.250 0.500
S: 0.250 0.750 0.500
S: 0.500 0.500 0.000
F: 0.375 0.221 0.346
F: 0.779 0.125 0.154
F: 0.875 0.029 0.654
F: 0.971 0.625 0.846